i.
Density functional theory data (PBE) for Sb2TeAsN after structural relaxation.

Unit cell a=5.316 b=5.316 c=5.410 alpha=90.00 beta=90.00 gamma=90.00
Atoms (fractional coordinates):
Sb 0.000 0.500 0.000
Sb 0.500 0.000 0.000
As 0.000 0.000 0.000
Te 0.000 0.000 0.500
N 0.500 0.500 0.500

D(E_F), states/eV/atom: 1.843


ii.
Density functional theory data (PBE) for Sb2TeAsN after structural relaxation.

Unit cell a=4.841 b=4.841 c=4.639 alpha=90.00 beta=90.00 gamma=90.00
Atoms (fractional coordinates):
Sb 0.000 0.500 0.000
Sb 0.500 0.000 0.000
As 0.500 0.500 0.500
Te 0.000 0.000 0.500
N 0.000 0.000 0.000

D(E_F), states/eV/atom: 0.611


Which is most stable, and by how much? ii, by 1124 meV per atom.